Material: Na2TaCoTe
Method: DFT, PBE
State: relaxed

Structure (CIF):
```
data_Na2TaCoTe
_chemical_formula_sum 'Na2 Ta1 Co1 Te1'
_cell_length_a 5.659
_cell_length_b 5.659
_cell_length_c 4.630
_cell_angle_alpha 90.00
_cell_angle_beta 90.00
_cell_angle_gamma 90.00
_space_group_name_H-M_alt 'P 4/m m m'
_space_group_IT_number 123
_space_group_name_Hall '-P 4 2'
loop_
_atom_site_label
_atom_site_type_symbol
_atom_site_fract_x
_atom_site_fract_y
_atom_site_fract_z
_atom_site_occupancy
Na1 Na 0.000 0.500 0.000 1
Ta1 Ta 0.000 0.000 0.500 1
Co1 Co 0.500 0.500 0.500 1
Te1 Te 0.500 0.500 0.000 1
```

Properties
formation energy without anion corrections: 1.3594 eV per atom
uncorrected energy: -3.59 eV per atom
mass density: 4.63 g cm⁻³
magnetic moment: 4.05 Bohr magnetons per cell

=====

Material: MnNb2Rh
Method: DFT, PBE
State: relaxed

Structure (CIF):
```
data_MnNb2Rh
_chemical_formula_sum 'Mn4 Nb8 Rh4'
_cell_length_a 3.996
_cell_length_b 3.996
_cell_length_c 17.162
_cell_angle_alpha 90.00
_cell_angle_beta 90.00
_cell_angle_gamma 90.00
_space_group_name_H-M_alt 'I -4 2 d'
_space_group_IT_number 122
_space_group_name_Hall 'I -4 2bw'
loop_
_atom_site_label
_atom_site_type_symbol
_atom_site_fract_x
_atom_site_fract_y
_atom_site_fract_z
_atom_site_occupancy
Mn1 Mn 0.000 0.000 0.000 1
Nb1 Nb 0.239 0.250 0.125 1
Rh1 Rh 0.000 0.000 0.500 1
```

Properties
uncorrected energy: -8.55 eV per atom
mass density: 8.33 g cm⁻³
magnetic moment: 0.00 Bohr magnetons per cell

=====

Material: CeAl2SiOs2
Method: DFT, PBE
State: relaxed

Structure (CIF):
```
data_CeAl2SiOs2
_chemical_formula_sum 'Ce1 Al2 Si1 Os2'
_cell_length_a 4.465
_cell_length_b 4.465
_cell_length_c 5.712
_cell_angle_alpha 90.00
_cell_angle_beta 90.00
_cell_angle_gamma 90.00
_space_group_name_H-M_alt 'P 4/m m m'
_space_group_IT_number 123
_space_group_name_Hall '-P 4 2'
loop_
_atom_site_label
_atom_site_type_symbol
_atom_site_fract_x
_atom_site_fract_y
_atom_site_fract_z
_atom_site_occupancy
Ce1 Ce 0.000 0.000 0.000 1
Al1 Al 0.500 0.500 0.238 1
Si1 Si 0.000 0.000 0.500 1
Os1 Os 0.000 0.500 0.500 1
```

Properties
formation energy without anion corrections: -0.2053 eV per atom
uncorrected energy: -7.09 eV per atom
mass density: 8.79 g cm⁻³
magnetic moment: 1.30 Bohr magnetons per cell

=====

Material: Sc2PtW
Method: DFT, PBE
State: relaxed

Structure (CIF):
```
data_Sc2PtW
_chemical_formula_sum 'Sc2 Pt1 W1'
_cell_length_a 3.036
_cell_length_b 3.541
_cell_length_c 6.702
_cell_angle_alpha 90.00
_cell_angle_beta 90.00
_cell_angle_gamma 90.00
_space_group_name_H-M_alt 'P m m m'
_space_group_IT_number 47
_space_group_name_Hall '-P 2 2'
loop_
_atom_site_label
_atom_site_type_symbol
_atom_site_fract_x
_atom_site_fract_y
_atom_site_fract_z
_atom_site_occupancy
Sc1 Sc 0.000 0.000 0.243 1
Pt1 Pt 0.500 0.500 0.000 1
W1 W 0.500 0.500 0.500 1
```

Properties
uncorrected energy: -8.31 eV per atom
mass density: 10.80 g cm⁻³
magnetic moment: 0.00 Bohr magnetons per cell

=====

Material: SmHoZnCd
Method: DFT, PBE
State: relaxed

Structure (CIF):
```
data_SmHoZnCd
_chemical_formula_sum 'Sm1 Ho1 Zn1 Cd1'
_cell_length_a 3.617
_cell_length_b 3.617
_cell_length_c 7.633
_cell_angle_alpha 90.00
_cell_angle_beta 90.00
_cell_angle_gamma 90.00
_space_group_name_H-M_alt 'P 4 m m'
_space_group_IT_number 99
_space_group_name_Hall 'P 4 -2'
loop_
_atom_site_label
_atom_site_type_symbol
_atom_site_fract_x
_atom_site_fract_y
_atom_site_fract_z
_atom_site_occupancy
Sm1 Sm 0.000 0.000 0.000 1
Ho1 Ho 0.000 0.000 0.460 1
Zn1 Zn 0.500 0.500 0.243 1
Cd1 Cd 0.500 0.500 0.719 1
```

Properties
uncorrected energy: -3.20 eV per atom
mass density: 8.20 g cm⁻³
magnetic moment: 0.00 Bohr magnetons per cell

=====

Material: Ac5La2Pm3
Method: DFT, PBE
State: relaxed

Structure (CIF):
```
data_Ac5La2Pm3
_chemical_formula_sum 'Ac5 La2 Pm3'
_cell_length_a 5.408
_cell_length_b 6.652
_cell_length_c 12.217
_cell_angle_alpha 89.86
_cell_angle_beta 89.90
_cell_angle_gamma 66.09
_space_group_name_H-M_alt 'P -1'
_space_group_IT_number 2
_space_group_name_Hall '-P 1'
loop_
_atom_site_label
_atom_site_type_symbol
_atom_site_fract_x
_atom_site_fract_y
_atom_site_fract_z
_atom_site_occupancy
Ac1 Ac 0.000 0.000 0.000 1
Ac2 Ac 0.102 0.796 0.704 1
Ac3 Ac 0.196 0.607 0.398 1
La1 La 0.298 0.405 0.096 1
Pm1 Pm 0.401 0.198 0.802 1
Pm2 Pm 0.500 0.000 0.500 1
```

Properties
uncorrected energy: -4.43 eV per atom
mass density: 7.64 g cm⁻³
magnetic moment: 0.00 Bohr magnetons per cell

=====

Material: KIr
Method: DFT, PBE
State: relaxed

Structure (CIF):
```
data_KIr
_chemical_formula_sum 'K16 Ir16'
_cell_length_a 5.902
_cell_length_b 8.687
_cell_length_c 15.189
_cell_angle_alpha 90.00
_cell_angle_beta 90.00
_cell_angle_gamma 90.00
_space_group_name_H-M_alt 'F d d d'
_space_group_IT_number 70
loop_
_space_group_symop_operation_xyz
'x,y,z'
'-x,-y,-z'
'-x+1/4,-y+1/4,z'
'x+1/4,y+1/4,-z'
'x,-y+1/4,-z+1/4'
'-x,y+1/4,z+1/4'
'-x+1/4,y,-z+1/4'
'x+1/4,-y,z+1/4'
'x,y+1/2,z+1/2'
'-x,-y+1/2,-z+1/2'
'-x+1/4,-y+3/4,z+1/2'
'x+1/4,y+3/4,-z+1/2'
'x,-y+3/4,-z+3/4'
'-x,y+3/4,z+3/4'
'-x+1/4,y+1/2,-z+3/4'
'x+1/4,-y+1/2,z+3/4'
'x+1/2,y,z+1/2'
'-x+1/2,-y,-z+1/2'
'-x+3/4,-y+1/4,z+1/2'
'x+3/4,y+1/4,-z+1/2'
'x+1/2,-y+1/4,-z+3/4'
'-x+1/2,y+1/4,z+3/4'
'-x+3/4,y,-z+3/4'
'x+3/4,-y,z+3/4'
'x+1/2,y+1/2,z'
'-x+1/2,-y+1/2,-z'
'-x+3/4,-y+3/4,z'
'x+3/4,y+3/4,-z'
'x+1/2,-y+3/4,-z+1/4'
'-x+1/2,y+3/4,z+1/4'
'-x+3/4,y+1/2,-z+1/4'
'x+3/4,-y+1/2,z+1/4'
loop_
_atom_site_label
_atom_site_type_symbol
_atom_site_fract_x
_atom_site_fract_y
_atom_site_fract_z
_atom_site_occupancy
K1 K 0.125 0.285 0.125 1
Ir1 Ir 0.125 0.125 0.546 1
```

Properties
uncorrected energy: -4.14 eV per atom
mass density: 7.89 g cm⁻³
magnetic moment: 0.00 Bohr magnetons per cell

=====

Material: AcEr2TmSe4
Method: DFT, PBE
State: relaxed

Structure (CIF):
```
data_AcEr2TmSe4
_chemical_formula_sum 'Ac1 Er2 Tm1 Se4'
_cell_length_a 7.074
_cell_length_b 4.053
_cell_length_c 7.426
_cell_angle_alpha 90.00
_cell_angle_beta 108.30
_cell_angle_gamma 90.00
_space_group_name_H-M_alt 'P 1 2/m 1'
_space_group_IT_number 10
_space_group_name_Hall '-P 2y'
loop_
_atom_site_label
_atom_site_type_symbol
_atom_site_fract_x
_atom_site_fract_y
_atom_site_fract_z
_atom_site_occupancy
Ac1 Ac 0.000 0.000 0.000 1
Er1 Er 0.500 0.000 0.500 1
Er2 Er 0.500 0.500 0.000 1
Tm1 Tm 0.000 0.500 0.500 1
Se1 Se 0.257 0.000 0.736 1
Se2 Se 0.270 0.500 0.273 1
```

Properties
formation energy without anion corrections: -1.6859 eV per atom
uncorrected energy: -5.64 eV per atom
mass density: 8.60 g cm⁻³
magnetic moment: 0.00 Bohr magnetons per cell

=====

Material: CdPbSeBr2
Method: DFT, PBE
State: relaxed

Structure (CIF):
```
data_CdPbSeBr2
_chemical_formula_sum 'Cd1 Pb1 Se1 Br2'
_cell_length_a 5.347
_cell_length_b 5.347
_cell_length_c 5.473
_cell_angle_alpha 90.00
_cell_angle_beta 90.00
_cell_angle_gamma 90.00
_space_group_name_H-M_alt 'P 4/m m m'
_space_group_IT_number 123
_space_group_name_Hall '-P 4 2'
loop_
_atom_site_label
_atom_site_type_symbol
_atom_site_fract_x
_atom_site_fract_y
_atom_site_fract_z
_atom_site_occupancy
Cd1 Cd 0.000 0.000 0.000 1
Pb1 Pb 0.500 0.500 0.500 1
Se1 Se 0.000 0.000 0.500 1
Br1 Br 0.000 0.500 0.000 1
```

Properties
formation energy without anion corrections: -0.3297 eV per atom
uncorrected energy: -2.62 eV per atom
mass density: 5.93 g cm⁻³
magnetic moment: 0.00 Bohr magnetons per cell

=====

Material: Ac2Cu2Pd5
Method: DFT, PBE
State: relaxed

Structure (CIF):
```
data_Ac2Cu2Pd5
_chemical_formula_sum 'Ac2 Cu2 Pd5'
_cell_length_a 4.366
_cell_length_b 4.366
_cell_length_c 9.296
_cell_angle_alpha 90.00
_cell_angle_beta 90.00
_cell_angle_gamma 90.00
_space_group_name_H-M_alt 'P 4/m m m'
_space_group_IT_number 123
_space_group_name_Hall '-P 4 2'
loop_
_atom_site_label
_atom_site_type_symbol
_atom_site_fract_x
_atom_site_fract_y
_atom_site_fract_z
_atom_site_occupancy
Ac1 Ac 0.000 0.000 0.000 1
Ac2 Ac 0.000 0.000 0.500 1
Cu1 Cu 0.500 0.500 0.126 1
Pd1 Pd 0.000 0.500 0.271 1
Pd2 Pd 0.500 0.500 0.500 1
```

Properties
uncorrected energy: -5.28 eV per atom
mass density: 10.43 g cm⁻³
magnetic moment: 0.00 Bohr magnetons per cell

=====

Material: Ce2SiAs
Method: DFT, PBE
State: relaxed

Structure (CIF):
```
data_Ce2SiAs
_chemical_formula_sum 'Ce8 Si4 As4'
_cell_length_a 4.356
_cell_length_b 23.059
_cell_length_c 4.026
_cell_angle_alpha 90.00
_cell_angle_beta 90.00
_cell_angle_gamma 90.00
_space_group_name_H-M_alt 'C m c m'
_space_group_IT_number 63
_space_group_name_Hall '-C 2c 2'
loop_
_atom_site_label
_atom_site_type_symbol
_atom_site_fract_x
_atom_site_fract_y
_atom_site_fract_z
_atom_site_occupancy
Ce1 Ce 0.000 0.064 0.250 1
Ce2 Ce 0.000 0.317 0.250 1
Si1 Si 0.000 0.465 0.250 1
As1 As 0.000 0.189 0.250 1
```

Properties
formation energy without anion corrections: -0.9896 eV per atom
uncorrected energy: -6.47 eV per atom
mass density: 6.29 g cm⁻³
magnetic moment: 6.22 Bohr magnetons per cell

=====

Material: TlHg2B4
Method: DFT, PBE
State: relaxed

Structure (CIF):
```
data_TlHg2B4
_chemical_formula_sum 'Tl2 Hg4 B8'
_cell_length_a 4.859
_cell_length_b 4.859
_cell_length_c 11.525
_cell_angle_alpha 90.00
_cell_angle_beta 90.00
_cell_angle_gamma 90.00
_space_group_name_H-M_alt 'I 4/m m m'
_space_group_IT_number 139
_space_group_name_Hall '-I 4 2'
loop_
_atom_site_label
_atom_site_type_symbol
_atom_site_fract_x
_atom_site_fract_y
_atom_site_fract_z
_atom_site_occupancy
Tl1 Tl 0.000 0.000 0.000 1
Hg1 Hg 0.000 0.000 0.378 1
B1 B 0.000 0.000 0.195 1
B2 B 0.000 0.500 0.000 1
```

Properties
uncorrected energy: -2.13 eV per atom
mass density: 7.92 g cm⁻³
magnetic moment: 0.00 Bohr magnetons per cell

=====

> Number 6 is which compound?

Ac5La2Pm3